PBE RbIn4Pt4, optimized geometry; volume = 25.3 Å³ per atom; crystal system = tetragonal; space group = P4_2/n, No. 86
1.0
9.237 0.000 0.000
0.000 9.237 0.000
0.000 0.000 5.329
Rb In Pt
2 8 8
direct
0.250 0.250 0.250
0.750 0.750 0.750
0.117 0.625 0.161
0.125 0.883 0.661
0.375 0.617 0.661
0.383 0.875 0.161
0.617 0.125 0.839
0.625 0.383 0.339
0.875 0.117 0.339
0.883 0.375 0.839
0.080 0.919 0.164
0.081 0.580 0.664
0.419 0.920 0.664
0.420 0.581 0.164
0.580 0.419 0.836
0.581 0.080 0.336
0.919 0.420 0.336
0.920 0.081 0.836



PBE RbIn5Pt2, optimized geometry; volume = 25.7 Å³ per atom; crystal system = orthorhombic; space group = Immm, No. 71
1.0
-2.240 3.994 5.753
2.240 -3.994 5.753
2.240 3.994 -5.753
Rb In Pt
1 5 2
direct
0.000 0.000 0.000
0.144 0.345 0.799
0.454 0.655 0.799
0.500 0.000 0.500
0.546 0.345 0.201
0.856 0.655 0.201
0.271 0.771 0.500
0.729 0.229 0.500



PBE RbIn2Pt, optimized geometry; volume = 25.1 Å³ per atom; crystal system = cubic; space group = Fm-3m, No. 225
1.0
0.000 3.688 3.688
3.688 0.000 3.688
3.688 3.688 0.000
Rb In Pt
1 2 1
direct
0.000 0.000 0.000
0.250 0.250 0.250
0.750 0.750 0.750
0.500 0.500 0.500



PBE RbInPt3, optimized geometry; volume = 27.4 Å³ per atom; crystal system = cubic; space group = Pm-3m, No. 221
1.0
5.155 0.000 0.000
0.000 5.155 0.000
0.000 0.000 5.155
Rb In Pt
1 1 3
direct
0.000 0.000 0.000
0.500 0.500 0.500
0.000 0.000 0.500
0.000 0.500 0.000
0.500 0.000 0.000



Number 1: energy of formation from the pure elements -0.3772 eV/atom. Number 2: energy of formation from the pure elements -0.3469 eV/atom. Number 3: energy of formation from the pure elements 0.1099 eV/atom. Number 4: energy of formation from the pure elements 1.8310 eV/atom.